[1]
{
  "formula": "NiGe3Rh",
  "functional": "PBE-GGA",
  "state": "relaxed",
  "de_polymorph_ev_per_atom": 0.168,
  "final_energy_ev_per_cell": -24.06,
  "spacegroup": "Pm-3m (221)",
  "lattice": [[4.7276, 0.0000, 0.0000], [0.0000, 4.7276, 0.0000], [0.0000, 0.0000, 4.7276]],
  "species": ["Ni", "Ge", "Ge", "Ge", "Rh"],
  "fractional_positions": [[0.0000, 0.0000, 0.0000], [0.0000, 0.5000, 0.5000], [0.5000, 0.0000, 0.5000], [0.5000, 0.5000, 0.0000], [0.5000, 0.5000, 0.5000]]
}

[2]
{
  "formula": "NiGe6Rh3",
  "functional": "PBE-GGA",
  "state": "relaxed",
  "final_energy_ev_per_cell": -117.05,
  "spacegroup": "P2_1/c (14)",
  "lattice": [[6.5595, 0.0000, 0.0000], [0.0000, 6.0740, 0.0000], [-5.5915, 0.0000, 8.1801]],
  "species": ["Ni", "Ni", "Ge", "Ge", "Ge", "Ge", "Ge", "Ge", "Ge", "Ge", "Ge", "Ge", "Ge", "Ge", "Rh", "Rh", "Rh", "Rh", "Rh", "Rh"],
  "fractional_positions": [[0.0000, 0.0000, 0.0000], [0.0000, 0.5000, 0.5000], [0.0771, 0.0251, 0.2572], [0.0771, 0.4749, 0.7572], [0.2221, 0.1641, 0.5756], [0.2221, 0.3359, 0.0756], [0.4022, 0.6334, 0.5669], [0.4022, 0.8666, 0.0669], [0.5978, 0.1334, 0.9331], [0.5978, 0.3666, 0.4331], [0.7779, 0.6641, 0.9244], [0.7779, 0.8359, 0.4244], [0.9229, 0.5251, 0.2428], [0.9229, 0.9749, 0.7428], [0.2765, 0.6639, 0.2497], [0.2765, 0.8361, 0.7497], [0.5000, 0.0000, 0.5000], [0.5000, 0.5000, 0.0000], [0.7235, 0.1639, 0.2503], [0.7235, 0.3361, 0.7503]]
}

[3]
{
  "formula": "Ni3Ge2Rh",
  "functional": "PBE-GGA",
  "state": "relaxed",
  "de_polymorph_ev_per_atom": 0.161,
  "final_energy_ev_per_cell": -35.22,
  "spacegroup": "Cmmm (65)",
  "lattice": [[1.8209, -5.7575, 0.0000], [1.8209, 5.7575, 0.0000], [0.0000, 0.0000, 3.6591]],
  "species": ["Ni", "Ni", "Ni", "Ge", "Ge", "Rh"],
  "fractional_positions": [[0.0000, 0.0000, 0.0000], [0.3295, 0.6705, 0.0000], [0.6705, 0.3295, 0.0000], [0.1533, 0.8467, 0.5000], [0.8467, 0.1533, 0.5000], [0.5000, 0.5000, 0.5000]]
}

[4]
{
  "formula": "Ni2Ge2Rh",
  "functional": "PBE-GGA",
  "state": "relaxed",
  "de_polymorph_ev_per_atom": 0.103,
  "final_energy_ev_per_cell": -58.09,
  "spacegroup": "P4/mbm (127)",
  "lattice": [[6.8379, 0.0000, 0.0000], [0.0000, 6.8379, 0.0000], [0.0000, 0.0000, 2.8048]],
  "species": ["Ni", "Ni", "Ni", "Ni", "Ge", "Ge", "Ge", "Ge", "Rh", "Rh"],
  "fractional_positions": [[0.1269, 0.3731, 0.0000], [0.3731, 0.8731, 0.0000], [0.6269, 0.1269, 0.0000], [0.8731, 0.6269, 0.0000], [0.1730, 0.6730, 0.5000], [0.3270, 0.1730, 0.5000], [0.6730, 0.8270, 0.5000], [0.8270, 0.3270, 0.5000], [0.0000, 0.0000, 0.0000], [0.5000, 0.5000, 0.0000]]
}

[5]
{
  "formula": "NiGeRh3",
  "functional": "PBE-GGA",
  "state": "relaxed",
  "de_polymorph_ev_per_atom": 0.126,
  "final_energy_ev_per_cell": -131.93,
  "spacegroup": "C2/c (15)",
  "lattice": [[6.4030, -2.3253, 0.0000], [6.4030, 2.3253, 0.0000], [-0.6800, 0.0000, 9.3442]],
  "species": ["Ni", "Ni", "Ni", "Ni", "Ge", "Ge", "Ge", "Ge", "Rh", "Rh", "Rh", "Rh", "Rh", "Rh", "Rh", "Rh", "Rh", "Rh", "Rh", "Rh"],
  "fractional_positions": [[0.1790, 0.2301, 0.2794], [0.2301, 0.1790, 0.7794], [0.7699, 0.8210, 0.2206], [0.8210, 0.7699, 0.7206], [0.0000, 0.5000, 0.0000], [0.0318, 0.9682, 0.2500], [0.5000, 0.0000, 0.5000], [0.9682, 0.0318, 0.7500], [0.0858, 0.6049, 0.4574], [0.2076, 0.6963, 0.9533], [0.3037, 0.7924, 0.5467], [0.3717, 0.4172, 0.2031], [0.3951, 0.9142, 0.0426], [0.4172, 0.3717, 0.7031], [0.5828, 0.6283, 0.2969], [0.6049, 0.0858, 0.9574], [0.6283, 0.5828, 0.7969], [0.6963, 0.2076, 0.4533], [0.7924, 0.3037, 0.0467], [0.9142, 0.3951, 0.5426]]
}

[6]
{
  "formula": "Ni2GeRh",
  "functional": "PBE-GGA",
  "state": "relaxed",
  "final_energy_ev_per_cell": -24.55,
  "spacegroup": "F222 (22)",
  "lattice": [[0.0000, 2.6840, 3.4773], [2.6799, 0.0000, 3.4773], [2.6799, 2.6840, 0.0000]],
  "species": ["Ni", "Ni", "Ge", "Rh"],
  "fractional_positions": [[0.0000, 0.0000, 0.0000], [0.2500, 0.2500, 0.2500], [0.7500, 0.7500, 0.7500], [0.5000, 0.5000, 0.5000]]
}

[7]
{
  "formula": "Ni3GeRh4",
  "functional": "PBE-GGA",
  "state": "relaxed",
  "final_energy_ev_per_cell": -52.18,
  "spacegroup": "I4/mmm (139)",
  "lattice": [[-1.9454, 1.9454, 6.9034], [1.9454, -1.9454, 6.9034], [1.9454, 1.9454, -6.9034]],
  "species": ["Ni", "Ni", "Ni", "Ge", "Rh", "Rh", "Rh", "Rh"],
  "fractional_positions": [[0.0000, 0.0000, 0.0000], [0.2480, 0.2480, 0.0000], [0.7520, 0.7520, 0.0000], [0.5000, 0.5000, 0.0000], [0.1246, 0.6246, 0.5000], [0.3754, 0.8754, 0.5000], [0.6246, 0.1246, 0.5000], [0.8754, 0.3754, 0.5000]]
}

[8]
{
  "formula": "NiGe3Rh",
  "functional": "PBE-GGA",
  "state": "relaxed",
  "de_polymorph_ev_per_atom": 0.000,
  "final_energy_ev_per_cell": -24.90,
  "spacegroup": "Pm-3m (221)",
  "lattice": [[4.4906, 0.0000, 0.0000], [0.0000, 4.4906, 0.0000], [0.0000, 0.0000, 4.4906]],
  "species": ["Ni", "Ge", "Ge", "Ge", "Rh"],
  "fractional_positions": [[0.0000, 0.0000, 0.0000], [0.0000, 0.0000, 0.5000], [0.0000, 0.5000, 0.0000], [0.5000, 0.0000, 0.0000], [0.5000, 0.5000, 0.5000]]
}

[9]
{
  "formula": "Ni3GeRh",
  "functional": "PBE-GGA",
  "state": "relaxed",
  "de_polymorph_ev_per_atom": 0.000,
  "final_energy_ev_per_cell": -27.38,
  "spacegroup": "C2/m (12)",
  "lattice": [[4.0938, -2.4542, 0.0000], [4.0938, 2.4542, 0.0000], [-2.7105, 0.0000, 4.0967]],
  "species": ["Ni", "Ni", "Ni", "Ge", "Rh"],
  "fractional_positions": [[0.0000, 0.0000, 0.0000], [0.0000, 0.5000, 0.5000], [0.5000, 0.0000, 0.5000], [0.5000, 0.5000, 0.5000], [0.5000, 0.5000, 0.0000]]
}

[10]
{
  "formula": "NiGe2Rh",
  "functional": "PBE-GGA",
  "state": "relaxed",
  "de_polymorph_ev_per_atom": 0.333,
  "final_energy_ev_per_cell": -43.79,
  "spacegroup": "I-42d (122)",
  "lattice": [[-2.7632, 2.7632, 5.2156], [2.7632, -2.7632, 5.2156], [2.7632, 2.7632, -5.2156]],
  "species": ["Ni", "Ni", "Ge", "Ge", "Ge", "Ge", "Rh", "Rh"],
  "fractional_positions": [[0.0000, 0.0000, 0.0000], [0.7500, 0.2500, 0.5000], [0.1124, 0.6250, 0.9874], [0.3750, 0.3624, 0.4874], [0.6376, 0.1250, 0.0126], [0.8750, 0.8876, 0.5126], [0.2500, 0.7500, 0.5000], [0.5000, 0.5000, 0.0000]]
}

[11]
{
  "formula": "Ni5Ge6Rh",
  "functional": "PBE-GGA",
  "state": "relaxed",
  "final_energy_ev_per_cell": -65.47,
  "spacegroup": "C2/m (12)",
  "lattice": [[3.9085, -4.2398, 0.0000], [3.9085, 4.2398, 0.0000], [-1.1677, 0.0000, 4.9586]],
  "species": ["Ni", "Ni", "Ni", "Ni", "Ni", "Ge", "Ge", "Ge", "Ge", "Ge", "Ge", "Rh"],
  "fractional_positions": [[0.0000, 0.0000, 0.0000], [0.1625, 0.8375, 0.5000], [0.3344, 0.6656, 0.0000], [0.6656, 0.3344, 0.0000], [0.8375, 0.1625, 0.5000], [0.0748, 0.4169, 0.2480], [0.2466, 0.2466, 0.7575], [0.4169, 0.0748, 0.2480], [0.5831, 0.9252, 0.7520], [0.7534, 0.7534, 0.2425], [0.9252, 0.5831, 0.7520], [0.5000, 0.5000, 0.5000]]
}

[12]
{
  "formula": "Ni3GeRh",
  "functional": "PBE-GGA",
  "state": "relaxed",
  "de_polymorph_ev_per_atom": 0.774,
  "final_energy_ev_per_cell": -23.52,
  "spacegroup": "Pm-3m (221)",
  "lattice": [[4.5229, 0.0000, 0.0000], [0.0000, 4.5229, 0.0000], [0.0000, 0.0000, 4.5229]],
  "species": ["Ni", "Ni", "Ni", "Ge", "Rh"],
  "fractional_positions": [[0.0000, 0.0000, 0.5000], [0.0000, 0.5000, 0.0000], [0.5000, 0.0000, 0.0000], [0.5000, 0.5000, 0.5000], [0.0000, 0.0000, 0.0000]]
}

| no. | energy of formation from the pure elements (eV per atom) |
| --- | --- |
| 1 | 0.59 |
| 2 | -0.30 |
| 3 | -0.21 |
| 4 | -0.18 |
| 5 | -0.11 |
| 6 | -0.25 |
| 7 | -0.10 |
| 8 | 0.42 |
| 9 | 0.39 |
| 10 | 0.12 |
| 11 | -0.13 |
| 12 | 1.16 |